! Na2TiMnTe4 | Alexandria | GGA-PBE | optimized geometry; values from VASP
&SYSTEM
  ibrav = 0, nat = 8, ntyp = 4
/
ATOMIC_SPECIES
Na 22.99 Na.upf
Ti 47.87 Ti.upf
Mn 54.94 Mn.upf
Te 127.60 Te.upf
CELL_PARAMETERS angstrom
7.2300 0.0000 0.0000
0.0000 4.0438 0.0000
-2.3606 0.0000 7.5012
ATOMIC_POSITIONS angstrom
Na 0.0000 0.0000 0.0000
Na 3.6150 2.0219 0.0000
Ti -1.1803 2.0219 3.7506
Mn 2.4347 0.0000 3.7506
Te -0.0093 0.0000 5.3321
Te 1.2196 2.0219 2.2178
Te 3.6498 2.0219 5.2834
Te 4.8787 0.0000 2.1691
! **Electronic total energy**: -4.664 eV per atom
! **Formation energy (no corrections)**: -5.04 eV/f.u.
! **Mass density**: 4.99 Mg/m³
! **V**: 219 Å³/cell

! Pb2Se | Alexandria | GGA-PBE | optimized geometry; values from VASP
&SYSTEM
  ibrav = 0, nat = 12, ntyp = 2
/
ATOMIC_SPECIES
Pb 207.20 Pb.upf
Se 78.96 Se.upf
CELL_PARAMETERS angstrom
4.0610 0.0000 0.0000
0.0000 15.2172 0.0000
0.0000 0.0000 5.9739
ATOMIC_POSITIONS angstrom
Pb 0.0000 0.7481 1.4935
Pb 0.0000 5.2437 1.4935
Pb 0.0000 9.9735 4.4804
Pb 0.0000 14.4691 4.4804
Pb 2.0305 2.3649 4.4804
Pb 2.0305 6.8605 4.4804
Pb 2.0305 8.3567 1.4935
Pb 2.0305 12.8523 1.4935
Se 0.0000 4.5831 4.4804
Se 0.0000 10.6341 1.4935
Se 2.0305 3.0255 1.4935
Se 2.0305 12.1917 4.4804
! **Energy above the lowest structure with this stoichiometry**: 15 meV/atom
! **Electronic total energy**: -3.857 eV per atom
! **Formation energy (no corrections)**: -0.67 eV/f.u.
! **Mass density**: 8.88 Mg/m³
! **V**: 369 Å³/cell

! YBe3 | Alexandria | GGA-PBE | optimized geometry; values from VASP
&SYSTEM
  ibrav = 0, nat = 4, ntyp = 2
/
ATOMIC_SPECIES
Y 88.91 Y.upf
Be 9.01 Be.upf
CELL_PARAMETERS angstrom
3.9547 0.0000 0.0000
0.0000 3.9547 0.0000
0.0000 0.0000 3.9547
ATOMIC_POSITIONS angstrom
Y 0.0000 0.0000 0.0000
Be 0.0000 1.9774 1.9774
Be 1.9774 0.0000 1.9774
Be 1.9774 1.9774 0.0000
! **Energy above the lowest structure with this stoichiometry**: 566 meV/atom
! **Electronic total energy**: -3.919 eV per atom
! **Mass density**: 3.11 Mg/m³
! **V**: 62 Å³/cell
! **Energy relative to the elements**: 47.5 kJ per mole of atoms